1.
Li2PuTlAu2 (GGA-PBE, relaxed); ΔH_f (0 K) = -337 meV per atom; total energy = -4.850 eV per atom
1.0
-1.6079 1.6097 -4.0342
2.9135 -3.5999 0.0610
-5.1953 -4.1980 0.3956
Li Pu Tl Au
2 1 1 2
Direct
0.3333 0.6667 0.6660
0.6667 0.3333 0.3340
0.0000 0.0000 0.0000
0.0000 0.0000 0.5000
0.3333 0.6667 0.2431
0.6667 0.3333 0.7569

2.
LiTmPuAu (GGA-PBE, relaxed); ΔH_f (0 K) = -181 meV per atom; total energy = -6.180 eV per atom
1.0
-0.0595 -1.0816 -4.9729
-4.2149 -1.8805 -2.1450
-2.7274 2.8718 -3.1964
Tm Au Li Pu
1 1 1 1
Direct
0.2500 0.2500 0.2500
0.0000 0.0000 0.0000
0.5000 0.5000 0.5000
0.7500 0.7500 0.7500

3.
LiTm2PuAu4 (GGA-PBE, relaxed); ΔH_f (0 K) = -655 meV per atom; total energy = -5.442 eV per atom
1.0
-3.6273 1.6757 2.9486
-0.3205 -1.5929 4.6925
3.4564 6.1359 4.9465
Li Tm Pu Au
1 2 1 4
Direct
0.5000 0.5000 0.5000
0.7551 0.7551 0.7348
0.2449 0.2449 0.2652
0.0000 0.0000 0.0000
0.3818 0.3818 0.8545
0.8754 0.8754 0.3737
0.1246 0.1246 0.6263
0.6182 0.6182 0.1455